Record 1
Density functional theory data (PBE) for PaI after structural relaxation.

Cell lengths 3.7851, 3.6270, 10.2228 Å; angles 87.14, 90.00, 90.00 degrees
Fractional positions:
I  0.2500  0.7830  0.8112
Pa  0.2500  0.3921  0.4177
I  0.7500  0.2170  0.1888
Pa  0.7500  0.6079  0.5823

Summary:
**Formation energy (no corrections)**: -0.2487 eV/atom
**Uncorrected energy**: -5.77 eV per atom

---

Record 2
Density functional theory data (PBE) for PaI3 after structural relaxation.

Cell lengths 7.1268, 8.2280, 8.2387 Å; angles 119.97, 90.00, 90.00 degrees
Each line ends with the local moment (μB).
Fractional positions:
I  0.7500  0.3086  0.3084  -0.02
I  0.2500  0.6914  0.6916  -0.02
Pa  0.0000  0.0000  0.0000  1.36
I  0.2500  0.9998  0.3083  -0.02
I  0.2500  0.3089  0.0000  -0.02
I  0.7500  0.6911  0.0000  -0.02
Pa  0.5000  0.0000  0.0000  1.36
I  0.7500  0.0002  0.6917  -0.02

Summary:
**Formation energy (no corrections)**: -0.8920 eV/atom
**Uncorrected energy**: -4.43 eV per atom

---

Record 3
Density functional theory data (PBE) for PaI5 after structural relaxation.

Cell lengths 5.9712, 4.8747, 8.0452 Å; angles 107.64, 90.00, 90.00 degrees
Each line ends with the local moment (μB).
Fractional positions:
I  0.5000  0.8494  0.6988  -0.03
I  0.0000  0.3649  0.7297  -0.04
I  0.5000  0.1506  0.3012  -0.03
I  0.0000  0.6351  0.2703  -0.04
I  0.5000  0.5000  0.0000  -0.04
Pa  0.0000  0.0000  0.0000  1.27

Summary:
**Formation energy (no corrections)**: -0.2699 eV/atom
**ΔE to the lowest computed polymorph**: 612 meV/atom
**Uncorrected energy**: -3.14 eV per atom

---

> Look up the formation energy (no corrections) of the first one.

-0.2487 eV/atom